No. 1
! Y4MgPt PBE relaxed; values from VASP
&SYSTEM
  ibrav = 0, nat = 24, ntyp = 3
/
ATOMIC_SPECIES
Y 88.91 Y.upf
Mg 24.30 Mg.upf
Pt 195.08 Pt.upf
CELL_PARAMETERS angstrom
9.8060 0.0000 0.0000
4.9030 8.4922 0.0000
4.9030 2.8307 8.0065
ATOMIC_POSITIONS angstrom
Y 11.7531 6.7856 4.7982
Y 9.8060 5.6615 1.6186
Y 9.8060 3.4132 4.7982
Y 7.8589 6.7856 4.7982
Y 4.9030 4.9794 3.5210
Y 4.9030 0.6820 0.4823
Y 6.7638 1.7564 3.5210
Y 3.0422 3.9051 0.4823
Y 6.7638 3.9051 0.4823
Y 3.0422 1.7564 3.5210
Y 9.8060 9.2347 6.5299
Y 9.8060 2.0883 1.4766
Y 12.9005 3.8749 6.5299
Y 6.7115 7.4481 1.4766
Y 12.9005 7.4481 1.4766
Y 6.7115 3.8749 6.5299
Mg 16.2789 9.3986 6.6458
Mg 14.7090 8.4922 4.0822
Mg 14.7090 6.6794 6.6458
Mg 13.1390 9.3986 6.6458
Pt 7.6933 4.4417 3.1408
Pt 9.8060 5.6615 6.5907
Pt 9.8060 8.1010 3.1408
Pt 11.9186 4.4417 3.1408
! Total energy in eV per atom: -6.106
! SG: F-43m
! Energy above the lowest structure with this stoichiometry in meV/atom: 0
! Formation enthalpy at 0 K in eV/atom: -0.5244
! Calculated volume in Å³/f.u.: 166.7
! Total moment in μB per atom: 0.000
! DOS at the Fermi energy in states/eV/f.u.: 7.1

***

No. 2
! Na4In3GeS8 PBE relaxed; values from VASP
&SYSTEM
  ibrav = 0, nat = 16, ntyp = 4
/
ATOMIC_SPECIES
Na 22.99 Na.upf
In 114.82 In.upf
Ge 72.64 Ge.upf
S 32.06 S.upf
CELL_PARAMETERS angstrom
-2.8175 6.1713 -3.5240
-5.6723 -4.5420 -3.4189
0.6390 -0.0932 7.6180
ATOMIC_POSITIONS angstrom
Na -1.4088 3.0857 -1.7620
Na -1.0893 3.0391 2.0470
Na 0.0000 0.0000 0.0000
Na 0.3195 -0.0466 3.8090
In -4.2449 0.8147 -3.4714
In -3.9254 0.7681 0.3376
In -2.5167 -2.3176 2.0996
Ge -2.8361 -2.2710 -1.7094
S -4.1109 -1.8884 4.1840
S -4.4347 -1.8412 0.3214
S -1.9896 0.2834 2.0871
S -5.5394 1.2406 2.3973
S -2.3114 0.2956 -1.7222
S -5.8613 1.2527 -1.4119
S -3.4161 3.3773 0.3538
S -3.7400 3.4245 -3.5089
! Total energy in eV per atom: -3.980
! SG: R-3m
! Calculated volume in Å³/f.u.: 339.5
! E_form (uncorrected) in eV per atom: -0.78
! Total moment in μB per atom: 0.000
! DOS at the Fermi energy in states/eV/f.u.: 2.6

***

No. 3
! LiCeDyGe PBE relaxed; values from VASP
&SYSTEM
  ibrav = 0, nat = 4, ntyp = 4
/
ATOMIC_SPECIES
Ge 72.64 Ge.upf
Li 6.94 Li.upf
Ce 140.12 Ce.upf
Dy 162.50 Dy.upf
CELL_PARAMETERS angstrom
-4.3530 1.2075 -2.3373
-1.0034 -1.8600 -4.6264
-3.6268 -3.5158 -0.5958
ATOMIC_POSITIONS angstrom
Ge -2.2458 -1.0420 -1.8899
Li -6.7374 -3.1261 -5.6696
Ce -4.4916 -2.0841 -3.7797
Dy 0.0000 0.0000 0.0000
! Total energy in eV per atom: -4.591
! SG: F-43m
! Formation enthalpy at 0 K in eV/atom: -0.3239
! Calculated volume in Å³/f.u.: 93.0
! Total moment in μB per atom: 0.247
! DOS at the Fermi energy in states/eV/f.u.: 9.0

***

No. 4
! Pm12Dy7Ho PBE relaxed; values from VASP
&SYSTEM
  ibrav = 0, nat = 20, ntyp = 3
/
ATOMIC_SPECIES
Pm 145.00 Pm.upf
Dy 162.50 Dy.upf
Ho 164.93 Ho.upf
CELL_PARAMETERS angstrom
-5.1757 -2.6515 6.6248
7.0170 1.3492 5.1621
-2.7043 8.3814 0.3817
ATOMIC_POSITIONS angstrom
Pm -4.3227 3.8931 6.9584
Pm -2.1539 -0.0254 6.6802
Pm -2.5550 2.3767 4.0670
Pm -1.7026 2.9164 8.8998
Pm -2.3855 5.6967 3.3350
Pm -1.6866 6.3035 6.9305
Pm 0.8237 0.7755 5.2381
Pm 1.5225 1.3823 8.8336
Pm 0.8396 4.1626 3.2688
Pm 1.6921 4.7023 8.1015
Pm 1.2910 7.1044 5.4884
Pm 3.4597 3.1859 5.2101
Dy -2.8243 6.6760 9.8213
Dy -1.8933 -0.2048 2.4275
Dy -0.4549 2.9749 0.6797
Dy -0.4315 3.5395 6.0843
Dy -0.4081 4.1041 11.4888
Dy 1.0303 7.2838 9.7411
Dy 1.9613 0.4030 2.3473
Ho 0.0000 0.0000 0.0000
! Total energy in eV per atom: -4.416
! SG: R-3
! Energy above the lowest structure with this stoichiometry in meV/atom: 32
! Formation enthalpy at 0 K in eV/atom: 0.2736
! Calculated volume in Å³/f.u.: 679.2
! Total moment in μB per atom: 0.000
! DOS at the Fermi energy in states/eV/f.u.: 23.4

***

No. 5
! HfTi2Ag2 PBE relaxed; values from VASP
&SYSTEM
  ibrav = 0, nat = 10, ntyp = 3
/
ATOMIC_SPECIES
Hf 178.49 Hf.upf
Ag 107.87 Ag.upf
Ti 47.87 Ti.upf
CELL_PARAMETERS angstrom
7.8125 0.0000 0.0000
0.0000 7.8125 0.0000
0.0000 0.0000 3.0524
ATOMIC_POSITIONS angstrom
Hf 0.0000 0.0000 0.0000
Hf 3.9062 3.9062 0.0000
Ag 2.9292 6.8354 0.0000
Ag 6.8354 4.8833 0.0000
Ag 4.8833 0.9770 0.0000
Ag 0.9770 2.9292 0.0000
Ti 1.3563 5.2626 1.5262
Ti 5.2626 6.4562 1.5262
Ti 6.4562 2.5499 1.5262
Ti 2.5499 1.3563 1.5262
! Total energy in eV per atom: -6.083
! SG: P4/mbm
! Energy above the lowest structure with this stoichiometry in meV/atom: 0
! Formation enthalpy at 0 K in eV/atom: 0.2058
! Calculated volume in Å³/f.u.: 93.2
! Total moment in μB per atom: 0.000
! DOS at the Fermi energy in states/eV/f.u.: 7.3

***

No. 6
! Ac4Sb2AsCl PBE relaxed; values from VASP
&SYSTEM
  ibrav = 0, nat = 8, ntyp = 4
/
ATOMIC_SPECIES
Ac 227.00 Ac.upf
Sb 121.76 Sb.upf
As 74.92 As.upf
Cl 35.45 Cl.upf
CELL_PARAMETERS angstrom
4.6753 0.0000 0.0000
0.0000 7.9494 -0.1189
0.0000 2.8338 7.5439
ATOMIC_POSITIONS angstrom
Ac 0.0001 8.0253 5.5016
Ac 4.6753 2.7579 1.9234
Ac 2.3377 6.6081 1.8889
Ac 2.3377 4.1752 5.5361
Sb 0.0000 2.8338 7.5439
Sb 2.3377 1.4169 3.7719
As 0.0000 5.3916 3.7125
Cl 2.3376 3.9747 -0.0595
! Total energy in eV per atom: -5.266
! SG: P2/m
! Calculated volume in Å³/f.u.: 281.9
! E_form (uncorrected) in eV per atom: -1.37
! Total moment in μB per atom: 0.000
! DOS at the Fermi energy in states/eV/f.u.: 3.2

***

No. 7
! SmY4Rh5 PBE relaxed; values from VASP
&SYSTEM
  ibrav = 0, nat = 10, ntyp = 3
/
ATOMIC_SPECIES
Sm 150.36 Sm.upf
Y 88.91 Y.upf
Rh 102.91 Rh.upf
CELL_PARAMETERS angstrom
3.4184 0.0000 0.0000
0.0000 3.4184 0.0000
0.0000 0.0000 17.5764
ATOMIC_POSITIONS angstrom
Sm 0.0000 0.0000 0.0000
Y 0.0000 0.0000 3.5501
Y 0.0000 0.0000 7.0429
Y 0.0000 0.0000 10.5335
Y 0.0000 0.0000 14.0264
Rh 1.7092 1.7092 1.8129
Rh 1.7092 1.7092 5.2977
Rh 1.7092 1.7092 8.7882
Rh 1.7092 1.7092 12.2787
Rh 1.7092 1.7092 15.7635
! Total energy in eV per atom: -7.541
! SG: P4/mmm
! Formation enthalpy at 0 K in eV/atom: -0.8079
! Calculated volume in Å³/f.u.: 205.4
! Total moment in μB per atom: 0.000
! DOS at the Fermi energy in states/eV/f.u.: 7.0

***

No. 8
! La2CrHgPt PBE relaxed; values from VASP
&SYSTEM
  ibrav = 0, nat = 5, ntyp = 4
/
ATOMIC_SPECIES
Cr 52.00 Cr.upf
Hg 200.59 Hg.upf
Pt 195.08 Pt.upf
La 138.91 La.upf
CELL_PARAMETERS angstrom
5.6051 0.0000 0.0000
0.0000 5.0282 0.0000
0.0000 0.0000 5.6051
ATOMIC_POSITIONS angstrom
Cr 0.0000 2.5141 0.0000
Hg 2.8025 2.5141 2.8025
Pt 0.0000 0.0000 0.0000
La 0.0000 0.0000 2.8025
La 2.8025 0.0000 0.0000
! Total energy in eV per atom: -5.326
! SG: P4/mmm
! Formation enthalpy at 0 K in eV/atom: -0.1620
! Calculated volume in Å³/f.u.: 158.0
! Total moment in μB per atom: 0.840
! DOS at the Fermi energy in states/eV/f.u.: 5.6

***

No. 9
! Ca2CoNiGe PBE relaxed; values from VASP
&SYSTEM
  ibrav = 0, nat = 5, ntyp = 4
/
ATOMIC_SPECIES
Ni 58.69 Ni.upf
Ge 72.64 Ge.upf
Co 58.93 Co.upf
Ca 40.08 Ca.upf
CELL_PARAMETERS angstrom
5.2216 0.0000 0.0000
0.0000 4.3240 0.0000
0.0000 0.0000 5.2216
ATOMIC_POSITIONS angstrom
Ni 0.0000 2.1620 0.0000
Ge 2.6108 2.1620 2.6108
Co 0.0000 0.0000 0.0000
Ca 0.0000 0.0000 2.6108
Ca 2.6108 0.0000 0.0000
! Total energy in eV per atom: -3.980
! SG: P4/mmm
! Formation enthalpy at 0 K in eV/atom: 0.3215
! Calculated volume in Å³/f.u.: 117.9
! Total moment in μB per atom: 0.391
! DOS at the Fermi energy in states/eV/f.u.: 4.7

***

No. 10
! HoMgScTc PBE relaxed; values from VASP
&SYSTEM
  ibrav = 0, nat = 4, ntyp = 4
/
ATOMIC_SPECIES
Sc 44.96 Sc.upf
Mg 24.30 Mg.upf
Ho 164.93 Ho.upf
Tc 98.00 Tc.upf
CELL_PARAMETERS angstrom
4.8844 0.0000 0.0000
2.4422 4.2300 0.0000
2.4422 1.4100 3.9881
ATOMIC_POSITIONS angstrom
Sc 2.4422 1.4100 0.9970
Mg 4.8844 2.8200 1.9940
Ho 7.3266 4.2300 2.9911
Tc 0.0000 0.0000 0.0000
! Total energy in eV per atom: -5.774
! SG: F-43m
! Formation enthalpy at 0 K in eV/atom: -0.0562
! Calculated volume in Å³/f.u.: 82.4
! Total moment in μB per atom: 0.000
! DOS at the Fermi energy in states/eV/f.u.: 3.3

***

No. 11
! Na3ReF7 PBE relaxed; values from VASP
&SYSTEM
  ibrav = 0, nat = 11, ntyp = 3
/
ATOMIC_SPECIES
Na 22.99 Na.upf
Re 186.21 Re.upf
F 19.00 F.upf
CELL_PARAMETERS angstrom
4.9493 -0.1241 2.3667
-1.2586 4.7882 2.3667
-0.2855 -0.3609 6.1449
ATOMIC_POSITIONS angstrom
Na 3.4263 0.8381 5.3953
Na 1.7564 2.2196 2.6380
Na 0.0280 3.5272 5.3953
Re 3.5275 4.4578 4.6775
F 0.4541 0.5738 1.7331
F 3.0117 0.3426 3.1100
F 4.3001 1.1448 7.6901
F -0.3590 3.0098 3.1100
F 2.2584 2.8541 4.8400
F 0.1255 4.4481 7.6901
F 2.8630 3.6181 8.8282
! Total energy in eV per atom: -5.058
! SG: Cm
! Calculated volume in Å³/f.u.: 153.3
! E_form (uncorrected) in eV per atom: -2.38
! Total moment in μB per atom: 0.091
! DOS at the Fermi energy in states/eV/f.u.: 6.5

***

No. 12
! TbTmMgHg PBE relaxed; values from VASP
&SYSTEM
  ibrav = 0, nat = 4, ntyp = 4
/
ATOMIC_SPECIES
Tb 158.93 Tb.upf
Tm 168.93 Tm.upf
Mg 24.30 Mg.upf
Hg 200.59 Hg.upf
CELL_PARAMETERS angstrom
3.7664 0.0000 0.0000
0.0000 3.7664 0.0000
0.0000 0.0000 7.3400
ATOMIC_POSITIONS angstrom
Tb 0.0000 0.0000 6.3183
Tm 0.0000 0.0000 2.5789
Mg 1.8832 1.8832 4.4125
Hg 1.8832 1.8832 0.8416
! Total energy in eV per atom: -3.024
! SG: P4mm
! Energy above the lowest structure with this stoichiometry in meV/atom: 0
! Formation enthalpy at 0 K in eV/atom: -0.2745
! Calculated volume in Å³/f.u.: 104.1
! Total moment in μB per atom: 0.000
! DOS at the Fermi energy in states/eV/f.u.: 4.4

***

| no. | theoretical density (kg/m³) |
| --- | --- |
| 1 | 5728 |
| 2 | 3745 |
| 3 | 6821 |
| 4 | 7439 |
| 5 | 8734 |
| 6 | 7432 |
| 7 | 8251 |
| 8 | 7626 |
| 9 | 3809 |
| 10 | 6695 |
| 11 | 4205 |
| 12 | 8815 |